# NaAg2Br3

An optimized crystal structure of NaAg2Br3 (PBE, Alexandria).

The energy relative to the elements, uncorrected is -0.6693 eV/atom. The uncorrected energy is -2.676 eV/atom. As for the relative energy among the computed polymorphs: 60 meV per atom.

The space group is Cmcm (No. 63) and the conventional cell measures 9.808, 14.062 and 5.835 Å, with angles of 90.00, 90.00 and 90.00 degrees. The inequivalent atoms are Na at (0.000, 0.186, 0.250), Ag at (0.221, 0.000, 0.000), Br at (0.000, 0.103, 0.750) and Br at (0.207, 0.353, 0.750).

# NaAgBr

An optimized crystal structure of NaAgBr (PBE, Alexandria).

The energy relative to the elements, uncorrected is -0.6612 eV/atom. The uncorrected energy is -2.609 eV/atom. As for the relative energy among the computed polymorphs: 103 meV per atom.

The space group is Ima2 (No. 46) and the conventional cell measures 4.055, 11.245 and 7.243 Å, with angles of 90.00, 90.00 and 90.00 degrees. The inequivalent atoms are Na at (0.250, 0.171, 0.000), Ag at (0.250, 0.580, 0.191) and Br at (0.250, 0.676, 0.794).

# NaAgBr

An optimized crystal structure of NaAgBr (PBE, Alexandria).

The energy relative to the elements, uncorrected is -0.7592 eV/atom. The uncorrected energy is -2.707 eV/atom. As for the relative energy among the computed polymorphs: 5 meV per atom.

The space group is P4/nmm (No. 129, origin choice 2) and the conventional cell measures 3.988, 3.988 and 9.699 Å, with angles of 90.00, 90.00 and 90.00 degrees. The inequivalent atoms are Na at (0.250, 0.250, 0.179), Ag at (0.250, 0.250, 0.535) and Br at (0.250, 0.250, 0.845).